Entry 1:
An optimized crystal structure of NaTh2Os. Source: Alexandria via LeMat-Bulk, functional GGA-PBE. Values from VASP.

The structure in Quantum ESPRESSO input format:
```
&SYSTEM
  ibrav = 0, nat = 4, ntyp = 3
/
ATOMIC_SPECIES
Os 190.23 Os.upf
Th 232.04 Th.upf
Na 22.99 Na.upf
CELL_PARAMETERS angstrom
-0.8866 -1.8645 -3.6104
2.7879 -2.5233 -1.7769
-3.4494 -9.6616 3.4412
ATOMIC_POSITIONS crystal
Os 0.5000 0.5000 0.5000
Th 0.8795 0.8795 0.3614
Th 0.1205 0.1205 0.6386
Na 0.0000 0.0000 0.0000
```

Values from the calculation:
* symmetry: R-3m
* formation energy: 0.00 eV/atom
* D(E_F): 2.857 states/eV/f.u.


Entry 2:
An optimized crystal structure of NaTiOs2. Source: Alexandria via LeMat-Bulk, functional GGA-PBE. Values from VASP.

The structure in Quantum ESPRESSO input format:
```
&SYSTEM
  ibrav = 0, nat = 8, ntyp = 3
/
ATOMIC_SPECIES
Ti 47.87 Ti.upf
Na 22.99 Na.upf
Os 190.23 Os.upf
CELL_PARAMETERS angstrom
4.1124 0.0000 0.0000
0.0000 4.1124 0.0000
2.0562 2.0562 9.1924
ATOMIC_POSITIONS crystal
Ti 0.7500 0.2500 0.5000
Na 0.2500 0.7500 0.5000
Na 0.5000 0.5000 0.0000
Os 0.0251 0.6250 0.2500
Os 0.3750 0.2751 0.7500
Os 0.7249 0.1250 0.2500
Ti 0.0000 0.0000 0.0000
Os 0.8750 0.9749 0.7500
```

Values from the calculation:
* symmetry: I-42d
* formation energy: 1.01 eV/atom
* D(E_F): 5.253 states/eV/f.u.


Entry 3:
An optimized crystal structure of NaTi3Os. Source: Alexandria via LeMat-Bulk, functional GGA-PBE. Values from VASP.

The structure in Quantum ESPRESSO input format:
```
&SYSTEM
  ibrav = 0, nat = 5, ntyp = 3
/
ATOMIC_SPECIES
Ti 47.87 Ti.upf
Na 22.99 Na.upf
Os 190.23 Os.upf
CELL_PARAMETERS angstrom
-1.0499 -2.0474 -4.2660
4.6898 -1.0316 -0.6590
-0.6296 -4.2704 2.2045
ATOMIC_POSITIONS crystal
Ti 0.5000 0.0000 0.0000
Ti 0.0000 0.0000 0.5000
Na 0.5000 0.5000 0.5000
Ti 0.0000 0.5000 0.0000
Os 0.0000 0.0000 0.0000
```

Values from the calculation:
* symmetry: Pm-3m
* formation energy: 0.48 eV/atom
* D(E_F): 3.885 states/eV/f.u.


Entry 4:
An optimized crystal structure of NaTi2Os. Source: Alexandria via LeMat-Bulk, functional GGA-PBE. Values from VASP.

The structure in Quantum ESPRESSO input format:
```
&SYSTEM
  ibrav = 0, nat = 8, ntyp = 3
/
ATOMIC_SPECIES
Os 190.23 Os.upf
Ti 47.87 Ti.upf
Na 22.99 Na.upf
CELL_PARAMETERS angstrom
4.0300 0.0000 0.0000
0.0000 4.0300 0.0000
2.0150 2.0150 8.9932
ATOMIC_POSITIONS crystal
Os 0.0000 0.0000 0.0000
Os 0.7500 0.2500 0.5000
Ti 0.6541 0.1250 0.2500
Na 0.2500 0.7500 0.5000
Ti 0.3750 0.3459 0.7500
Na 0.5000 0.5000 0.0000
Ti 0.0959 0.6250 0.2500
Ti 0.8750 0.9041 0.7500
```

Values from the calculation:
* symmetry: I-42d
* formation energy: 0.95 eV/atom
* D(E_F): 5.362 states/eV/f.u.


Entry 5:
An optimized crystal structure of NaTi2Os. Source: Alexandria via LeMat-Bulk, functional GGA-PBE. Values from VASP.

The structure in Quantum ESPRESSO input format:
```
&SYSTEM
  ibrav = 0, nat = 4, ntyp = 3
/
ATOMIC_SPECIES
Ti 47.87 Ti.upf
Na 22.99 Na.upf
Os 190.23 Os.upf
CELL_PARAMETERS angstrom
0.0000 3.1931 3.1931
3.1931 0.0000 3.1931
3.1931 3.1931 0.0000
ATOMIC_POSITIONS crystal
Ti 0.7500 0.7500 0.7500
Ti 0.2500 0.2500 0.2500
Na 0.0000 0.0000 0.0000
Os 0.5000 0.5000 0.5000
```

Values from the calculation:
* symmetry: Fm-3m
* formation energy: 0.15 eV/atom
* D(E_F): 3.273 states/eV/f.u.


Entry 6:
An optimized crystal structure of Na3TiOs. Source: Alexandria via LeMat-Bulk, functional GGA-PBE. Values from VASP.

The structure in Quantum ESPRESSO input format:
```
&SYSTEM
  ibrav = 0, nat = 5, ntyp = 3
/
ATOMIC_SPECIES
Na 22.99 Na.upf
Os 190.23 Os.upf
Ti 47.87 Ti.upf
CELL_PARAMETERS angstrom
5.3031 0.0000 0.0000
0.0000 5.3031 0.0000
0.0000 0.0000 5.3031
ATOMIC_POSITIONS crystal
Na 0.0000 0.0000 0.5000
Os 0.0000 0.0000 0.0000
Na 0.0000 0.5000 0.0000
Na 0.5000 0.0000 0.0000
Ti 0.5000 0.5000 0.5000
```

Values from the calculation:
* symmetry: Pm-3m
* formation energy: 1.97 eV/atom
* D(E_F): 22.240 states/eV/f.u.


Entry 7:
An optimized crystal structure of Na2TiOs. Source: Alexandria via LeMat-Bulk, functional GGA-PBE. Values from VASP.

The structure in Quantum ESPRESSO input format:
```
&SYSTEM
  ibrav = 0, nat = 4, ntyp = 3
/
ATOMIC_SPECIES
Na 22.99 Na.upf
Os 190.23 Os.upf
Ti 47.87 Ti.upf
CELL_PARAMETERS angstrom
1.6365 -3.1446 -3.0533
-1.9375 -4.2515 -0.2443
-2.5614 -1.1927 -3.7290
ATOMIC_POSITIONS crystal
Na 0.7500 0.7500 0.7500
Os 0.5000 0.5000 0.5000
Ti 0.0000 0.0000 0.0000
Na 0.2500 0.2500 0.2500
```

Values from the calculation:
* symmetry: Fm-3m
* formation energy: 1.33 eV/atom
* D(E_F): 3.518 states/eV/f.u.


Entry 8:
An optimized crystal structure of NaTiOs2. Source: Alexandria via LeMat-Bulk, functional GGA-PBE. Values from VASP.

The structure in Quantum ESPRESSO input format:
```
&SYSTEM
  ibrav = 0, nat = 4, ntyp = 3
/
ATOMIC_SPECIES
Os 190.23 Os.upf
Ti 47.87 Ti.upf
Na 22.99 Na.upf
CELL_PARAMETERS angstrom
-0.0999 1.4100 4.1814
-3.4547 -0.9646 2.5724
0.4515 -2.8822 3.3123
ATOMIC_POSITIONS crystal
Os 0.2500 0.2500 0.2500
Ti 0.5000 0.5000 0.5000
Na 0.0000 0.0000 0.0000
Os 0.7500 0.7500 0.7500
```

Values from the calculation:
* symmetry: Fm-3m
* formation energy: 0.58 eV/atom
* D(E_F): 3.721 states/eV/f.u.


Entry 9:
An optimized crystal structure of NaTiOs3. Source: Alexandria via LeMat-Bulk, functional GGA-PBE. Values from VASP.

The structure in Quantum ESPRESSO input format:
```
&SYSTEM
  ibrav = 0, nat = 5, ntyp = 3
/
ATOMIC_SPECIES
Os 190.23 Os.upf
Ti 47.87 Ti.upf
Na 22.99 Na.upf
CELL_PARAMETERS angstrom
-0.3794 0.8867 -4.5279
-4.4023 -1.4297 0.0889
-1.3813 4.3130 0.9604
ATOMIC_POSITIONS crystal
Os 0.0000 0.5000 0.0000
Os 0.5000 0.0000 0.0000
Os 0.0000 0.0000 0.5000
Ti 0.0000 0.0000 0.0000
Na 0.5000 0.5000 0.5000
```

Values from the calculation:
* symmetry: Pm-3m
* formation energy: 1.70 eV/atom
* D(E_F): 5.641 states/eV/f.u.


Entry 10:
An optimized crystal structure of Na3TiOs. Source: Alexandria via LeMat-Bulk, functional GGA-PBE. Values from VASP.

The structure in Quantum ESPRESSO input format:
```
&SYSTEM
  ibrav = 0, nat = 5, ntyp = 3
/
ATOMIC_SPECIES
Na 22.99 Na.upf
Ti 47.87 Ti.upf
Os 190.23 Os.upf
CELL_PARAMETERS angstrom
-2.0665 3.5294 -3.6669
-5.0554 -0.9662 1.9191
0.5881 4.0967 3.6117
ATOMIC_POSITIONS crystal
Na 0.0000 0.0000 0.5000
Na 0.0000 0.5000 0.0000
Na 0.5000 0.0000 0.0000
Ti 0.0000 0.0000 0.0000
Os 0.5000 0.5000 0.5000
```

Values from the calculation:
* symmetry: Pm-3m
* formation energy: 2.17 eV/atom
* D(E_F): 4.601 states/eV/f.u.


Entry 11:
An optimized crystal structure of Na2TiOs. Source: Alexandria via LeMat-Bulk, functional GGA-PBE. Values from VASP.

The structure in Quantum ESPRESSO input format:
```
&SYSTEM
  ibrav = 0, nat = 8, ntyp = 3
/
ATOMIC_SPECIES
Na 22.99 Na.upf
Ti 47.87 Ti.upf
Os 190.23 Os.upf
CELL_PARAMETERS angstrom
-0.5419 -2.4166 -2.6876
-0.9713 -2.5203 2.4620
-11.5205 0.8688 -0.9430
ATOMIC_POSITIONS crystal
Na 0.6351 0.1250 0.2500
Ti 0.2500 0.7500 0.5000
Os 0.0000 0.0000 0.0000
Na 0.1149 0.6250 0.2500
Os 0.7500 0.2500 0.5000
Na 0.8750 0.8851 0.7500
Na 0.3750 0.3649 0.7500
Ti 0.5000 0.5000 0.0000
```

Values from the calculation:
* symmetry: I-42d
* formation energy: 0.64 eV/atom
* D(E_F): 2.222 states/eV/f.u.


Entry 12:
An optimized crystal structure of NaTiTl2Os. Source: Alexandria via LeMat-Bulk, functional GGA-PBE. Values from VASP.

The structure in Quantum ESPRESSO input format:
```
&SYSTEM
  ibrav = 0, nat = 5, ntyp = 4
/
ATOMIC_SPECIES
Tl 204.38 Tl.upf
Na 22.99 Na.upf
Ti 47.87 Ti.upf
Os 190.23 Os.upf
CELL_PARAMETERS angstrom
4.9155 0.0000 0.0000
0.0000 4.9178 0.0000
0.0000 0.0000 4.9155
ATOMIC_POSITIONS crystal
Tl 0.0000 0.0000 0.5000
Na 0.0000 0.0000 0.0000
Ti 0.5000 0.5000 0.5000
Os 0.0000 0.5000 0.0000
Tl 0.5000 0.0000 0.0000
```

Values from the calculation:
* symmetry: P4/mmm
* formation energy: 1.73 eV/atom
* D(E_F): 7.217 states/eV/f.u.


Entry 13:
An optimized crystal structure of NaYTi2Os. Source: Alexandria via LeMat-Bulk, functional GGA-PBE. Values from VASP.

The structure in Quantum ESPRESSO input format:
```
&SYSTEM
  ibrav = 0, nat = 5, ntyp = 4
/
ATOMIC_SPECIES
Y 88.91 Y.upf
Os 190.23 Os.upf
Na 22.99 Na.upf
Ti 47.87 Ti.upf
CELL_PARAMETERS angstrom
-1.4129 -3.0207 3.3179
3.6125 -2.7531 -0.9681
2.5967 2.2864 3.1873
ATOMIC_POSITIONS crystal
Y 0.0000 0.0000 0.0000
Os 0.5000 0.5000 0.5000
Na 0.0000 0.5000 0.0000
Ti 0.5000 0.0000 0.0000
Ti 0.0000 0.0000 0.5000
```

Values from the calculation:
* symmetry: P4/mmm
* formation energy: 2.02 eV/atom
* D(E_F): 5.177 states/eV/f.u.


Entry 14:
An optimized crystal structure of Na2TlOs. Source: Alexandria via LeMat-Bulk, functional GGA-PBE. Values from VASP.

The structure in Quantum ESPRESSO input format:
```
&SYSTEM
  ibrav = 0, nat = 4, ntyp = 3
/
ATOMIC_SPECIES
Na 22.99 Na.upf
Os 190.23 Os.upf
Tl 204.38 Tl.upf
CELL_PARAMETERS angstrom
0.0000 3.5136 3.5136
3.5136 0.0000 3.5136
3.5136 3.5136 0.0000
ATOMIC_POSITIONS crystal
Na 0.2500 0.2500 0.2500
Os 0.0000 0.0000 0.0000
Na 0.7500 0.7500 0.7500
Tl 0.5000 0.5000 0.5000
```

Values from the calculation:
* symmetry: Fm-3m
* formation energy: 1.03 eV/atom
* D(E_F): 6.827 states/eV/f.u.


Entry 15:
An optimized crystal structure of NaTl2Os. Source: Alexandria via LeMat-Bulk, functional GGA-PBE. Values from VASP.

The structure in Quantum ESPRESSO input format:
```
&SYSTEM
  ibrav = 0, nat = 8, ntyp = 3
/
ATOMIC_SPECIES
Na 22.99 Na.upf
Tl 204.38 Tl.upf
Os 190.23 Os.upf
CELL_PARAMETERS angstrom
5.5953 0.0000 0.0000
0.0000 5.5953 0.0000
2.7976 2.7976 8.3969
ATOMIC_POSITIONS crystal
Na 0.5000 0.5000 0.0000
Tl 0.3750 0.2621 0.7500
Tl 0.0121 0.6250 0.2500
Os 0.0000 0.0000 0.0000
Os 0.7500 0.2500 0.5000
Na 0.2500 0.7500 0.5000
Tl 0.8750 0.9879 0.7500
Tl 0.7379 0.1250 0.2500
```

Values from the calculation:
* symmetry: I-42d
* formation energy: 0.94 eV/atom
* D(E_F): 2.544 states/eV/f.u.


Entry 16:
An optimized crystal structure of Na2TlOs. Source: Alexandria via LeMat-Bulk, functional GGA-PBE. Values from VASP.

The structure in Quantum ESPRESSO input format:
```
&SYSTEM
  ibrav = 0, nat = 8, ntyp = 3
/
ATOMIC_SPECIES
Tl 204.38 Tl.upf
Na 22.99 Na.upf
Os 190.23 Os.upf
CELL_PARAMETERS angstrom
8.3573 0.0000 0.0000
0.0000 8.3573 0.0000
4.1787 4.1787 2.7191
ATOMIC_POSITIONS crystal
Tl 0.7500 0.2500 0.5000
Na 0.3750 0.3919 0.7500
Na 0.1419 0.6250 0.2500
Os 0.2500 0.7500 0.5000
Na 0.6081 0.1250 0.2500
Tl 0.0000 0.0000 0.0000
Na 0.8750 0.8581 0.7500
Os 0.5000 0.5000 0.0000
```

Values from the calculation:
* symmetry: I-42d
* formation energy: 0.99 eV/atom
* D(E_F): 1.149 states/eV/f.u.


Entry 17:
An optimized crystal structure of NaTl3Os. Source: Alexandria via LeMat-Bulk, functional GGA-PBE. Values from VASP.

The structure in Quantum ESPRESSO input format:
```
&SYSTEM
  ibrav = 0, nat = 5, ntyp = 3
/
ATOMIC_SPECIES
Tl 204.38 Tl.upf
Os 190.23 Os.upf
Na 22.99 Na.upf
CELL_PARAMETERS angstrom
5.3364 0.0000 0.0000
0.0000 5.3364 0.0000
0.0000 0.0000 5.3364
ATOMIC_POSITIONS crystal
Tl 0.5000 0.0000 0.0000
Os 0.0000 0.0000 0.0000
Tl 0.0000 0.0000 0.5000
Tl 0.0000 0.5000 0.0000
Na 0.5000 0.5000 0.5000
```

Values from the calculation:
* symmetry: Pm-3m
* formation energy: 0.32 eV/atom
* D(E_F): 1.332 states/eV/f.u.


Entry 18:
An optimized crystal structure of NaTl2Os. Source: Alexandria via LeMat-Bulk, functional GGA-PBE. Values from VASP.

The structure in Quantum ESPRESSO input format:
```
&SYSTEM
  ibrav = 0, nat = 4, ntyp = 3
/
ATOMIC_SPECIES
Tl 204.38 Tl.upf
Os 190.23 Os.upf
Na 22.99 Na.upf
CELL_PARAMETERS angstrom
0.0000 3.4450 3.4450
3.4450 0.0000 3.4450
3.4450 3.4450 0.0000
ATOMIC_POSITIONS crystal
Tl 0.2500 0.2500 0.2500
Os 0.5000 0.5000 0.5000
Tl 0.7500 0.7500 0.7500
Na 0.0000 0.0000 0.0000
```

Values from the calculation:
* symmetry: Fm-3m
* formation energy: 0.61 eV/atom
* D(E_F): 2.095 states/eV/f.u.


Entry 19:
An optimized crystal structure of NaTl3Os. Source: Alexandria via LeMat-Bulk, functional GGA-PBE. Values from VASP.

The structure in Quantum ESPRESSO input format:
```
&SYSTEM
  ibrav = 0, nat = 5, ntyp = 3
/
ATOMIC_SPECIES
Tl 204.38 Tl.upf
Os 190.23 Os.upf
Na 22.99 Na.upf
CELL_PARAMETERS angstrom
-2.3855 0.9057 4.7169
1.6674 -4.7829 1.7616
4.5043 2.2502 1.8459
ATOMIC_POSITIONS crystal
Tl 0.5000 0.0000 0.0000
Tl 0.0000 0.0000 0.5000
Os 0.5000 0.5000 0.5000
Tl 0.0000 0.5000 0.0000
Na 0.0000 0.0000 0.0000
```

Values from the calculation:
* symmetry: Pm-3m
* formation energy: 1.54 eV/atom
* D(E_F): 5.388 states/eV/f.u.


Entry 20:
An optimized crystal structure of NaTm2Os. Source: Alexandria via LeMat-Bulk, functional GGA-PBE. Values from VASP.

The structure in Quantum ESPRESSO input format:
```
&SYSTEM
  ibrav = 0, nat = 4, ntyp = 3
/
ATOMIC_SPECIES
Os 190.23 Os.upf
Tm 168.93 Tm.upf
Na 22.99 Na.upf
CELL_PARAMETERS angstrom
-0.7040 -0.1499 3.2838
0.1588 -3.3559 -0.1191
9.2093 0.3652 1.9910
ATOMIC_POSITIONS crystal
Os 0.5000 0.5000 0.0000
Tm 0.0000 0.0000 0.8279
Tm 0.0000 0.0000 0.1721
Na 0.5000 0.5000 0.5000
```

Values from the calculation:
* symmetry: P4/mmm
* formation energy: -0.19 eV/atom
* D(E_F): 1.655 states/eV/f.u.